No. 1
VASP calculation (PBE) on crystalline Cr2ReSe at its relaxed geometry.

a b c (Å): 3.1644 3.1885 5.9873
angles (deg): 90.00 105.30 90.00
With the nearest neighbours (Å) after each atom.
Element x y z (fractional)
Cr 0.0000 0.0000 0.0000  1 Se 2.52, 4 Re 2.54-2.55, 4 Cr 2.75
Cr 0.3627 0.5000 0.7243  4 Se 2.43
Re 0.6026 0.5000 0.2071  5 Cr 2.54-2.79, 2 Se 2.61
Se 0.7828 0.0000 0.5639  5 Cr 2.43-2.52, 2 Re 2.61

Values from the calculation:
Fermi-level density of states   3.12 states/eV per cell
Symmetry   Pm (6)
ΔE to the lowest computed polymorph   0.316 eV/f.u.
ΔE_f (raw)   6.436 kcal/mol of atoms


No. 2
VASP calculation (PBE) on crystalline TlAuBr2 at its relaxed geometry.

a b c (Å): 8.2921 8.2921 8.2921
angles (deg): 37.59 37.59 37.59
With the nearest neighbours (Å) after each atom.
Element x y z (fractional)
Tl 0.0000 0.0000 0.0000  6 Br 3.40
Au 0.5000 0.5000 0.5000  2 Br 2.42
Br 0.3952 0.3952 0.3952  1 Au 2.42
Br 0.6048 0.6048 0.6048  1 Au 2.42

Values from the calculation:
Fermi-level density of states   0.00 states/eV per cell
Symmetry   R-3m (166)
ΔE to the lowest computed polymorph   0.027 eV/f.u.
ΔE_f (raw)   -10.951 kcal/mol of atoms


No. 3
VASP calculation (PBE) on crystalline TlCrAs2Se at its relaxed geometry.

a b c (Å): 4.5821 4.5821 5.4637
angles (deg): 90.00 90.00 90.00
With the nearest neighbours (Å) after each atom.
Element x y z (fractional)
Tl 0.0000 0.0000 0.0000  4 Se 3.24, 8 As 3.57
Cr 0.5000 0.5000 0.5000  4 As 2.29
As 0.0000 0.5000 0.5000  2 Cr 2.29
As 0.5000 0.0000 0.5000  2 Cr 2.29
Se 0.5000 0.5000 0.0000  2 Cr 2.73

Values from the calculation:
Fermi-level density of states   4.84 states/eV per cell
Symmetry   P4/mmm (123)
ΔE to the lowest computed polymorph   0.000 eV/f.u.
ΔE_f (raw)   4.372 kcal/mol of atoms


No. 4
VASP calculation (PBE) on crystalline PAu3I at its relaxed geometry.

a b c (Å): 5.3850 5.3850 5.3850
angles (deg): 90.00 90.00 90.00
With the nearest neighbours (Å) after each atom.
Element x y z (fractional)
P 0.0000 0.0000 0.0000  12 Au 3.81
Au 0.0000 0.5000 0.5000  2 I 2.69
Au 0.5000 0.0000 0.5000  2 I 2.69
Au 0.5000 0.5000 0.0000  2 I 2.69
I 0.5000 0.5000 0.5000  6 Au 2.69

Values from the calculation:
Fermi-level density of states   2.59 states/eV per cell
Symmetry   Pm-3m (221)
ΔE to the lowest computed polymorph   4.973 eV/f.u.
ΔE_f (raw)   29.869 kcal/mol of atoms


No. 5
VASP calculation (PBE) on crystalline PmScN2 at its relaxed geometry.

a b c (Å): 6.1609 6.1609 6.1609
angles (deg): 31.72 31.72 31.72
With the nearest neighbours (Å) after each atom.
Element x y z (fractional)
Pm 0.0000 0.0000 0.0000  6 N 2.41-2.58
Sc 0.8290 0.8290 0.8290  6 N 2.34-2.41
N 0.4144 0.4144 0.4144  3 Pm 2.41, 3 Sc 2.41
N 0.5696 0.5696 0.5696  3 Sc 2.34, 3 Pm 2.58

Values from the calculation:
Symmetry   R3m (160)
ΔE to the lowest computed polymorph   1.139 eV/f.u.
ΔE_f (raw)   -29.496 kcal/mol of atoms


No. 6
VASP calculation (PBE) on crystalline TbIn6Hg12 at its relaxed geometry.

a b c (Å): 7.9881 7.9881 7.9881
angles (deg): 92.18 92.18 92.18
With the nearest neighbours (Å) after each atom.
Element x y z (fractional)
Tb 0.0000 0.0000 0.0000  6 Hg 3.19, 6 In 3.32
In 0.1439 0.7162 0.2571  6 Hg 3.08-3.37, 1 Tb 3.32, 2 In 3.44
In 0.2571 0.1439 0.7162  6 Hg 3.08-3.37, 1 Tb 3.32, 2 In 3.44
In 0.2838 0.7429 0.8561  6 Hg 3.08-3.37, 1 Tb 3.32, 2 In 3.44
In 0.7162 0.2571 0.1439  6 Hg 3.08-3.37, 1 Tb 3.32, 2 In 3.44
In 0.7429 0.8561 0.2838  6 Hg 3.08-3.37, 1 Tb 3.32, 2 In 3.44
In 0.8561 0.2838 0.7429  6 Hg 3.08-3.37, 1 Tb 3.32, 2 In 3.44
Hg 0.0476 0.1524 0.3741  4 Hg 3.12-3.32, 3 In 3.15-3.37, 1 Tb 3.19
Hg 0.1524 0.3741 0.0476  4 Hg 3.12-3.32, 3 In 3.15-3.37, 1 Tb 3.19
Hg 0.1914 0.4844 0.5529  3 In 3.08-3.17, 4 Hg 3.12-3.27
Hg 0.3741 0.0476 0.1524  4 Hg 3.12-3.32, 3 In 3.15-3.37, 1 Tb 3.19
Hg 0.4471 0.8086 0.5156  3 In 3.08-3.17, 4 Hg 3.12-3.27
Hg 0.4844 0.5529 0.1914  3 In 3.08-3.17, 4 Hg 3.12-3.27
Hg 0.5156 0.4471 0.8086  3 In 3.08-3.17, 4 Hg 3.12-3.27
Hg 0.5529 0.1914 0.4844  3 In 3.08-3.17, 4 Hg 3.12-3.27
Hg 0.6259 0.9524 0.8476  4 Hg 3.12-3.32, 3 In 3.15-3.37, 1 Tb 3.19
Hg 0.8086 0.5156 0.4471  3 In 3.08-3.17, 4 Hg 3.12-3.27
Hg 0.8476 0.6259 0.9524  4 Hg 3.12-3.32, 3 In 3.15-3.37, 1 Tb 3.19
Hg 0.9524 0.8476 0.6259  4 Hg 3.12-3.32, 3 In 3.15-3.37, 1 Tb 3.19

Values from the calculation:
Fermi-level density of states   8.33 states/eV per cell
ΔH_f (0 K)   -0.0395 eV per atom
Symmetry   R-3 (148)
ΔE to the lowest computed polymorph   0.388 eV/f.u.


No. 7
VASP calculation (PBE) on crystalline Ti12MnGe6 at its relaxed geometry.

a b c (Å): 7.1404 7.1404 7.1404
angles (deg): 99.72 99.72 99.72
With the nearest neighbours (Å) after each atom.
Element x y z (fractional)
Ti 0.0044 0.9421 0.6802  1 Mn 2.26
Ti 0.0579 0.3198 0.9956  1 Mn 2.26
Ti 0.1961 0.5478 0.4182  4 Ge 2.58-2.69
Ti 0.3198 0.9956 0.0579  1 Mn 2.26
Ti 0.4182 0.1961 0.5478  4 Ge 2.58-2.69
Ti 0.4522 0.5818 0.8039  4 Ge 2.58-2.69
Ti 0.5478 0.4182 0.1961  4 Ge 2.58-2.69
Ti 0.5818 0.8039 0.4522  4 Ge 2.58-2.69
Ti 0.6802 0.0044 0.9421  1 Mn 2.26
Ti 0.8039 0.4522 0.5818  4 Ge 2.58-2.69
Ti 0.9421 0.6802 0.0044  1 Mn 2.26
Ti 0.9956 0.0579 0.3198  1 Mn 2.26
Mn 0.0000 0.0000 0.0000  6 Ti 2.26
Ge 0.1229 0.3165 0.6501  7 Ti 2.58-2.72
Ge 0.3165 0.6501 0.1229  7 Ti 2.58-2.72
Ge 0.3499 0.8771 0.6835  7 Ti 2.58-2.72
Ge 0.6501 0.1229 0.3165  7 Ti 2.58-2.72
Ge 0.6835 0.3499 0.8771  7 Ti 2.58-2.72
Ge 0.8771 0.6835 0.3499  7 Ti 2.58-2.72

Values from the calculation:
Fermi-level density of states   20.26 states/eV per cell
ΔH_f (0 K)   -0.1611 eV per atom
Symmetry   R-3 (148)


No. 8
VASP calculation (PBE) on crystalline LiScAu at its relaxed geometry.

a b c (Å): 5.0402 5.0402 5.0402
angles (deg): 139.09 139.09 59.24
With the nearest neighbours (Å) after each atom.
Element x y z (fractional)
Li 0.0000 0.0000 0.0000  5 Sc 2.75-2.98, 5 Au 2.84-3.02
Sc 0.3140 0.3140 0.0000  5 Li 2.75-2.98, 5 Au 2.85-2.99
Au 0.6554 0.6554 0.0000  5 Li 2.84-3.02, 5 Sc 2.85-2.99

Values from the calculation:
Fermi-level density of states   1.23 states/eV per cell
ΔH_f (0 K)   -0.5275 eV per atom
Symmetry   I4mm (107)
ΔE to the lowest computed polymorph   0.008 eV/f.u.


No. 9
VASP calculation (PBE) on crystalline Ga2CuAu at its relaxed geometry.

a b c (Å): 4.8717 4.8717 3.1440
angles (deg): 108.52 108.52 82.03
With the nearest neighbours (Å) after each atom.
Element x y z (fractional)
Ga 0.1941 0.1941 0.1963  3 Cu 2.57-2.62, 1 Ga 2.59, 3 Au 2.69-2.74
Ga 0.8059 0.8059 0.8037  3 Cu 2.57-2.62, 1 Ga 2.59, 3 Au 2.69-2.74
Cu 0.7436 0.2564 0.5000  6 Ga 2.57-2.62, 2 Au 2.81
Au 0.3785 0.6215 0.0000  6 Ga 2.69-2.74, 2 Cu 2.81

Values from the calculation:
Fermi-level density of states   0.38 states/eV per cell
ΔH_f (0 K)   -0.0969 eV per atom
Symmetry   C2 (5)
ΔE to the lowest computed polymorph   0.000 eV/f.u.


No. 10
VASP calculation (PBE) on crystalline K2CuW2 at its relaxed geometry.

a b c (Å): 10.4772 10.4772 2.7314
angles (deg): 90.00 90.00 90.00
With the nearest neighbours (Å) after each atom.
Element x y z (fractional)
K 0.2076 0.2924 0.0000  2 K 2.73
K 0.2924 0.7924 0.0000  2 K 2.73
K 0.7076 0.2076 0.0000  2 K 2.73
K 0.7924 0.7076 0.0000  2 K 2.73
Cu 0.0000 0.0000 0.0000  2 Cu 2.73
Cu 0.5000 0.5000 0.0000  2 Cu 2.73
W 0.0773 0.5773 0.5000  1 W 2.29
W 0.4227 0.0773 0.5000  1 W 2.29
W 0.5773 0.9227 0.5000  1 W 2.29
W 0.9227 0.4227 0.5000  1 W 2.29

Values from the calculation:
Fermi-level density of states   9.75 states/eV per cell
ΔH_f (0 K)   1.6670 eV per atom
Symmetry   P4/mbm (127)
ΔE to the lowest computed polymorph   2.755 eV/f.u.


No. 11
VASP calculation (PBE) on crystalline KSrSi at its relaxed geometry.

a b c (Å): 5.4081 5.4081 3.8314
angles (deg): 90.00 90.00 120.00
With the nearest neighbours (Å) after each atom.
Element x y z (fractional)
K 0.0000 0.0000 0.0000  3 Si 3.37, 3 Sr 3.40
Sr 0.3333 0.6667 0.6497  3 Si 3.35, 3 K 3.40
Si 0.6667 0.3333 0.3318  3 Sr 3.35, 3 K 3.37

Values from the calculation:
Fermi-level density of states   2.98 states/eV per cell
Symmetry   P3m1 (156)
ΔE to the lowest computed polymorph   0.496 eV/f.u.
ΔE_f (raw)   4.713 kcal/mol of atoms


No. 12
VASP calculation (PBE) on crystalline NaLiN2 at its relaxed geometry.

a b c (Å): 7.6591 7.6591 7.6591
angles (deg): 19.95 19.95 19.95
With the nearest neighbours (Å) after each atom.
Element x y z (fractional)
Na 0.0000 0.0000 0.0000  6 N 2.42, 6 Na 2.65
Li 0.5000 0.5000 0.5000  2 N 1.88
N 0.4166 0.4166 0.4166  1 Li 1.88
N 0.5834 0.5834 0.5834  1 Li 1.88

Values from the calculation:
Fermi-level density of states   1.37 states/eV per cell
Symmetry   R-3m (166)
ΔE to the lowest computed polymorph   6.206 eV/f.u.
ΔE_f (raw)   33.912 kcal/mol of atoms


No. 13
VASP calculation (PBE) on crystalline CrReH at its relaxed geometry.

a b c (Å): 6.8903 6.8903 6.8903
angles (deg): 153.82 153.82 37.37
With the nearest neighbours (Å) after each atom.
Element x y z (fractional)
Cr 0.0000 0.0000 0.0000  4 H 2.01, 4 Cr 2.21
Cr 0.5000 0.5000 0.0000  4 H 2.01, 4 Cr 2.21
Re 0.1952 0.1952 0.0000  2 H 2.02
Re 0.8048 0.8048 0.0000  2 H 2.02
H 0.0971 0.5971 0.5000  4 Cr 2.01, 2 Re 2.02
H 0.4029 0.9029 0.5000  4 Cr 2.01, 2 Re 2.02

Values from the calculation:
Fermi-level density of states   4.96 states/eV per cell
Symmetry   I-4m2 (119)
ΔE to the lowest computed polymorph   1.176 eV/f.u.


No. 14
VASP calculation (PBE) on crystalline MgZr2CdS at its relaxed geometry.

a b c (Å): 5.2911 5.2911 4.4620
angles (deg): 90.00 90.00 90.00
With the nearest neighbours (Å) after each atom.
Element x y z (fractional)
Mg 0.0000 0.0000 0.0000  2 S 2.23
Zr 0.0000 0.5000 0.0000  2 Mg 2.65
Zr 0.5000 0.0000 0.0000  2 Mg 2.65
Cd 0.5000 0.5000 0.5000  8 Zr 3.46, 4 S 3.74
S 0.0000 0.0000 0.5000  2 Mg 2.23

Values from the calculation:
Fermi-level density of states   7.33 states/eV per cell
Symmetry   P4/mmm (123)
ΔE to the lowest computed polymorph   4.893 eV/f.u.
ΔE_f (raw)   19.319 kcal/mol of atoms


No. 15
VASP calculation (PBE) on crystalline CdCoOs4 at its relaxed geometry.

a b c (Å): 5.1712 5.1712 5.1712
angles (deg): 60.00 60.00 60.00
With the nearest neighbours (Å) after each atom.
Element x y z (fractional)
Cd 0.0000 0.0000 0.0000  12 Os 3.03, 4 Co 3.17
Co 0.7500 0.7500 0.7500  12 Os 3.03, 4 Cd 3.17
Os 0.3753 0.3753 0.3753  6 Os 2.58-2.59
Os 0.3753 0.3753 0.8740  6 Os 2.58-2.59
Os 0.3753 0.8740 0.3753  6 Os 2.58-2.59
Os 0.8740 0.3753 0.3753  6 Os 2.58-2.59

Values from the calculation:
Fermi-level density of states   9.57 states/eV per cell
ΔH_f (0 K)   0.8684 eV per atom
Symmetry   F-43m (216)


No. 16
VASP calculation (PBE) on crystalline RhSe2Br at its relaxed geometry.

a b c (Å): 3.8363 6.3625 8.9438
angles (deg): 90.00 97.10 90.00
With the nearest neighbours (Å) after each atom.
Element x y z (fractional)
Rh 0.2331 0.2500 0.4030  6 Se 2.53-2.57, 1 Br 2.55
Rh 0.7669 0.7500 0.5970  6 Se 2.53-2.57, 1 Br 2.55
Se 0.2768 0.0056 0.6339  3 Rh 2.53-2.57
Se 0.2768 0.4944 0.6339  3 Rh 2.53-2.57
Se 0.7232 0.5056 0.3661  3 Rh 2.53-2.57
Se 0.7232 0.9944 0.3661  3 Rh 2.53-2.57
Br 0.2462 0.2500 0.1192  1 Rh 2.55
Br 0.7538 0.7500 0.8808  1 Rh 2.55

Values from the calculation:
Fermi-level density of states   0.14 states/eV per cell
Symmetry   P2_1/m (11)
ΔE to the lowest computed polymorph   0.323 eV/f.u.
ΔE_f (raw)   -5.329 kcal/mol of atoms


No. 17
VASP calculation (PBE) on crystalline Pa4GeOs at its relaxed geometry.

a b c (Å): 6.5994 6.7035 7.2438
angles (deg): 90.00 102.45 90.00
With the nearest neighbours (Å) after each atom.
Element x y z (fractional)
Pa 0.1171 0.1314 0.3771  1 Os 2.64, 2 Ge 2.79-2.81, 1 Pa 2.83
Pa 0.1171 0.3686 0.8771  1 Os 2.64, 2 Ge 2.79-2.81, 1 Pa 2.83
Pa 0.3140 0.6596 0.2800  2 Os 2.80-2.90, 1 Pa 2.83, 1 Ge 3.07
Pa 0.3140 0.8404 0.7800  2 Os 2.80-2.90, 1 Pa 2.83, 1 Ge 3.07
Pa 0.6860 0.1596 0.2200  2 Os 2.80-2.90, 1 Pa 2.83, 1 Ge 3.07
Pa 0.6860 0.3404 0.7200  2 Os 2.80-2.90, 1 Pa 2.83, 1 Ge 3.07
Pa 0.8829 0.6314 0.1229  1 Os 2.64, 2 Ge 2.79-2.81, 1 Pa 2.83
Pa 0.8829 0.8686 0.6229  1 Os 2.64, 2 Ge 2.79-2.81, 1 Pa 2.83
Ge 0.0000 0.0000 0.0000  6 Pa 2.79-3.07
Ge 0.0000 0.5000 0.5000  6 Pa 2.79-3.07
Os 0.5000 0.0000 0.5000  6 Pa 2.64-2.90
Os 0.5000 0.5000 0.0000  6 Pa 2.64-2.90

Values from the calculation:
Fermi-level density of states   23.07 states/eV per cell
ΔH_f (0 K)   0.0699 eV per atom
Symmetry   P2_1/c (14)
ΔE to the lowest computed polymorph   2.336 eV/f.u.


No. 18
VASP calculation (PBE) on crystalline MnGaCo4 at its relaxed geometry.

a b c (Å): 4.8590 4.8590 5.5469
angles (deg): 106.55 106.55 34.28
With the nearest neighbours (Å) after each atom.
Element x y z (fractional)
Mn 0.0000 0.0000 0.0000  8 Co 2.49-2.51, 2 Ga 2.77
Ga 0.0000 0.0000 0.5000  8 Co 2.49-2.52, 2 Mn 2.77
Co 0.3274 0.3274 0.1632  4 Co 2.42-2.44, 2 Mn 2.51, 2 Ga 2.52
Co 0.3310 0.3310 0.6655  4 Co 2.44-2.46, 2 Ga 2.49, 2 Mn 2.49
Co 0.6690 0.6690 0.3345  4 Co 2.44-2.46, 2 Ga 2.49, 2 Mn 2.49
Co 0.6726 0.6726 0.8368  4 Co 2.42-2.44, 2 Mn 2.51, 2 Ga 2.52

Values from the calculation:
Fermi-level density of states   4.28 states/eV per cell
ΔH_f (0 K)   -0.0541 eV per atom
Symmetry   C2/m (12)


No. 19
VASP calculation (PBE) on crystalline YPtRh at its relaxed geometry.

a b c (Å): 4.3539 4.3539 3.7284
angles (deg): 90.00 90.00 120.00
With the nearest neighbours (Å) after each atom.
Element x y z (fractional)
Y 0.0000 0.0000 0.0000  6 Rh 3.13, 6 Pt 3.13
Pt 0.6667 0.3333 0.5000  3 Rh 2.51
Rh 0.3333 0.6667 0.5000  3 Pt 2.51

Values from the calculation:
Fermi-level density of states   1.28 states/eV per cell
ΔH_f (0 K)   -0.8183 eV per atom
Symmetry   P-6m2 (187)
ΔE to the lowest computed polymorph   0.335 eV/f.u.


No. 20
VASP calculation (PBE) on crystalline Sm2Er7Mg at its relaxed geometry.

a b c (Å): 9.3843 9.3843 5.1934
angles (deg): 90.00 90.00 125.45
With the nearest neighbours (Å) after each atom.
Element x y z (fractional)
Sm 0.2046 0.7954 0.0000  5 Er 3.07-3.41
Sm 0.7954 0.2046 0.0000  5 Er 3.07-3.41
Er 0.0000 0.0000 0.0000  4 Er 3.27, 2 Sm 3.41
Er 0.2173 0.4265 0.0000  4 Er 3.06-3.39, 1 Sm 3.23
Er 0.3025 0.6975 0.5000  2 Sm 3.07, 1 Mg 3.29, 4 Er 3.39
Er 0.4265 0.2173 0.0000  4 Er 3.06-3.39, 1 Sm 3.23
Er 0.5735 0.7827 0.0000  4 Er 3.06-3.39, 1 Sm 3.23
Er 0.6975 0.3025 0.5000  2 Sm 3.07, 1 Mg 3.29, 4 Er 3.39
Er 0.7827 0.5735 0.0000  4 Er 3.06-3.39, 1 Sm 3.23
Mg 0.5000 0.5000 0.5000  10 Er 3.29-3.48

Values from the calculation:
Fermi-level density of states   10.13 states/eV per cell
ΔH_f (0 K)   0.6815 eV per atom
Symmetry   Cmmm (65)